Compound: LiTlAs2
Source: Alexandria via LeMat-Bulk
Functional: SCAN
Structure: PBEsol geometry

Summary:
**Uncorrected energy**: -115.31 eV/cell
**Crystal system**: tetragonal
**Density of states at the Fermi level**: 1.7 states/eV per cell
**Total magnetization**: 0.0 μB/f.u.
**DFT formation energy**: -45.0 meV/atom

abc: 4.1024 4.1024 4.7844
angles: 90.00 90.00 90.00
Atoms (fractional coordinates):
Li 0.0000 0.0000 0.0000
Tl 0.5000 0.5000 0.0000
As 0.0000 0.5000 0.5000
As 0.5000 0.0000 0.5000